No. 1
# Li3Er3AlS8 (PBE, optimized geometry)
# * crystal system: trigonal
# * E: -0.3910 Ry per atom
# * ΔE_f (raw): -1.57 eV/atom
data_Li3Er3AlS8
_chemical_formula_sum 'Li9 Er9 Al3 S24'
_symmetry_space_group_name_H-M 'R -3 m'
_symmetry_Int_Tables_number 166
_symmetry_space_group_name_Hall '-R 3 2"'
_cell_length_a 7.6444
_cell_length_b 7.6444
_cell_length_c 18.2189
_cell_angle_alpha 90.00
_cell_angle_beta 90.00
_cell_angle_gamma 120.00
loop_
_atom_site_label
_atom_site_type_symbol
_atom_site_fract_x
_atom_site_fract_y
_atom_site_fract_z
Li1 Li 0.0000 0.5000 0.0000
Er1 Er 0.0000 0.5000 0.5000
Al1 Al 0.0000 0.0000 0.5000
S1 S 0.0000 0.0000 0.2510
S2 S 0.0276 0.5138 0.2449

=====

No. 2
# Li3Er2AlS6 (PBE, optimized geometry)
# * crystal system: monoclinic
# * E: -0.3839 Ry per atom
# * ΔE_f (raw): -1.61 eV/atom
data_Li3Er2AlS6
_chemical_formula_sum 'Li6 Er4 Al2 S12'
_symmetry_space_group_name_H-M 'C 1 2/m 1'
_symmetry_Int_Tables_number 12
_symmetry_space_group_name_Hall '-C 2y'
_cell_length_a 6.5296
_cell_length_b 11.3280
_cell_length_c 6.4953
_cell_angle_alpha 90.00
_cell_angle_beta 109.31
_cell_angle_gamma 90.00
loop_
_atom_site_label
_atom_site_type_symbol
_atom_site_fract_x
_atom_site_fract_y
_atom_site_fract_z
Li1 Li 0.0000 0.0000 0.0000
Li2 Li 0.0000 0.3434 0.0000
Er1 Er 0.0000 0.1677 0.5000
Al1 Al 0.0000 0.5000 0.5000
S1 S 0.2299 0.5000 0.2643
S2 S 0.2339 0.3460 0.7415

=====

No. 3
# LiErScAl (PBE, optimized geometry)
# * crystal system: cubic
# * ΔE_f: -0.211 eV/atom
# * E: -0.3197 Ry per atom
data_LiErScAl
_chemical_formula_sum 'Li4 Er4 Sc4 Al4'
_symmetry_space_group_name_H-M 'F -4 3 m'
_symmetry_Int_Tables_number 216
_symmetry_space_group_name_Hall 'F -4 2 3'
_cell_length_a 7.0353
_cell_length_b 7.0353
_cell_length_c 7.0353
_cell_angle_alpha 90.00
_cell_angle_beta 90.00
_cell_angle_gamma 90.00
loop_
_atom_site_label
_atom_site_type_symbol
_atom_site_fract_x
_atom_site_fract_y
_atom_site_fract_z
Li1 Li 0.0000 0.0000 0.0000
Er1 Er 0.2500 0.2500 0.7500
Sc1 Sc 0.2500 0.2500 0.2500
Al1 Al 0.0000 0.0000 0.5000

=====

no.,total moment (μB per formula unit)
1,0.0
2,0.0
3,0.0